Computed, not measured: a geometry-optimized NpMnAgO6 structure at the GGA+U level of DFT.

Computed properties:
Electronic total energy: -7.444 eV per atom

abc: 5.345 5.345 9.081
angles: 90.00 90.00 120.00
Last column: magnetic moment on the atom in μB.
Fractional coordinates of all 18 atoms:
Np 0.333 0.667 0.750  0.42
Mn 0.000 0.000 0.000  3.69
O 0.711 0.667 0.121  -0.15
O 0.044 0.711 0.879  -0.15
O 0.956 0.667 0.379  -0.15
O 0.667 0.711 0.621  -0.15
O 0.667 0.956 0.879  -0.15
Mn 0.000 0.000 0.500  3.69
O 0.333 0.044 0.121  -0.15
O 0.711 0.044 0.379  -0.15
O 0.289 0.956 0.621  -0.15
O 0.333 0.289 0.379  -0.15
O 0.044 0.333 0.621  -0.15
Np 0.667 0.333 0.250  0.42
O 0.956 0.289 0.121  -0.15
Ag 0.333 0.667 0.250  -0.21
O 0.289 0.333 0.879  -0.15
Ag 0.667 0.333 0.750  -0.21